An optimized crystal structure of DyAlB14, computed with GGA-PBEsol.

a = 7.257 Å, b = 7.257 Å, c = 7.257 Å
α = 132.16°, β = 88.23°, γ = 111.08°
Element x y z (fractional)
Dy  0.399  0.149  0.250
Dy  0.601  0.851  0.750
Al  0.000  0.000  0.500
Al  0.000  0.500  0.000
B  0.017  0.873  0.143
B  0.032  0.204  0.332
B  0.032  0.700  0.828
B  0.077  0.667  0.410
B  0.201  0.534  0.667
B  0.223  0.499  0.398
B  0.223  0.825  0.724
B  0.230  0.873  0.357
B  0.243  0.333  0.910
B  0.367  0.534  0.833
B  0.372  0.204  0.672
B  0.372  0.700  0.168
B  0.399  0.175  0.898
B  0.399  0.501  0.224
B  0.601  0.499  0.776
B  0.601  0.825  0.102
B  0.628  0.300  0.832
B  0.628  0.796  0.328
B  0.633  0.466  0.167
B  0.757  0.667  0.090
B  0.770  0.127  0.643
B  0.777  0.175  0.276
B  0.777  0.501  0.602
B  0.799  0.466  0.333
B  0.923  0.333  0.590
B  0.968  0.300  0.172
B  0.968  0.796  0.668
B  0.983  0.127  0.857

Energy of formation from the pure elements, kJ per mole of atoms: -20.1